Record 1
AlZn3Ag2 after structural relaxation, computed with PBE.

The space group is C2/c (No. 15) and the conventional cell measures 13.4825, 5.5225 and 5.2232 Å, with angles of 90.00, 91.56 and 90.00 degrees. The inequivalent atoms are Al at (0.0000, 0.1274, 0.2500), Zn at (0.0000, 0.3859, 0.7500), Zn at (0.1667, 0.3782, 0.4100) and Ag at (0.1634, 0.1249, 0.9013).

The calculated density is 7.5 g cm⁻³. The energy above the most stable polymorph in this dataset is 0.000 eV per atom.

Record 2
ErPdAu after structural relaxation, computed with PBE.

The space group is Fddd (No. 70, origin choice 2) and the conventional cell measures 6.8159, 9.0996 and 17.7447 Å, with angles of 90.00, 90.00 and 90.00 degrees. The inequivalent atoms are Er at (0.1250, 0.3204, 0.1250), Pd at (0.1250, 0.1250, 0.0015) and Au at (0.0000, 0.0000, 0.5000).

The calculated density is 11.4 g cm⁻³. The energy above the most stable polymorph in this dataset is 0.387 eV per atom.

Record 3
HfSeF2 after structural relaxation, computed with PBE.

The space group is Fm-3m (No. 225) and the conventional cell measures 6.0178, 6.0178 and 6.0178 Å, with angles of 90.00, 90.00 and 90.00 degrees. The inequivalent atoms are Hf at (0.0000, 0.0000, 0.0000), Se at (0.0000, 0.0000, 0.5000) and F at (0.2500, 0.2500, 0.2500).

For the uncorrected formation energy, the calculation gives -1.609 eV per atom. The calculated density is 9.0 g cm⁻³. The energy above the most stable polymorph in this dataset is 0.588 eV per atom.